VASP calculation (PBE with a Hubbard U) on crystalline LiNi2PF at its relaxed geometry.

Computed properties:
Total DFT energy (no corrections) in eV per atom: -3.318

a b c (Å): 4.216 4.216 3.486
angles (deg): 90.00 90.00 90.00
Element x y z (fractional)
Li 0.000 0.000 0.000
Ni 0.000 0.500 0.500
Ni 0.500 0.000 0.500
P 0.500 0.500 0.000
F 0.000 0.000 0.500